# 1
# Cd6Pt5Au

Cd6Pt5Au after structural relaxation (PBE, the Alexandria database).

The structure in POSCAR format:
```
Cd6Pt5Au
1.0
4.006 -0.021 1.335
0.037 7.954 0.012
-0.007 -0.010 6.699
Au Pt Cd
1 5 6
Cartesian
0.000 0.000 0.000
2.682 3.956 5.371
1.331 -0.010 2.684
1.354 3.967 2.676
2.668 -0.021 5.350
0.019 3.977 0.006
3.339 1.994 3.369
2.031 5.913 0.677
3.357 5.918 3.375
2.013 2.020 0.671
0.679 2.005 4.672
0.697 5.928 4.678
```

Calculated values
- DOS(E_F) (states/eV per cell) = 4.209
- DFT formation energy (eV/f.u.) = -3.6



# 2
# CdPt2Au2

CdPt2Au2 after structural relaxation (PBE, the Alexandria database).

The structure in POSCAR format:
```
CdPt2Au2
1.0
-0.510 3.779 0.592
-2.198 -0.778 3.076
3.994 1.618 5.685
Cd Pt Au
1 2 2
Cartesian
0.000 0.000 0.000
-0.317 1.523 2.581
1.604 3.096 6.772
1.065 3.449 4.056
0.222 1.170 5.297
```

Calculated values
- DOS(E_F) (states/eV per cell) = 2.806
- DFT formation energy (eV/f.u.) = 0.6



# 3
# CdPt2Au

CdPt2Au after structural relaxation (PBE, the Alexandria database).

The structure in POSCAR format:
```
CdPt2Au
1.0
2.887 0.000 0.000
0.000 4.886 0.000
-1.444 -2.443 4.935
Au Pt Cd
1 2 1
Cartesian
0.000 0.000 4.877
0.000 0.000 0.056
1.444 0.000 2.409
0.000 2.443 2.528
```

Calculated values
- DOS(E_F) (states/eV per cell) = 2.244
- DFT formation energy (eV/f.u.) = -0.4



# 4
# Cd3Pt3Au2

Cd3Pt3Au2 after structural relaxation (PBE, the Alexandria database).

The structure in POSCAR format:
```
Cd3Pt3Au2
1.0
4.283 0.000 -1.293
-0.353 6.217 -1.169
-0.506 -0.499 6.063
Pt Au Cd
3 2 3
Cartesian
0.159 4.180 0.527
3.265 1.538 3.075
0.000 0.000 0.000
0.605 1.891 2.004
2.819 3.827 1.598
1.965 3.108 -1.231
2.616 -0.108 0.925
0.808 5.826 2.676
```

Calculated values
- DOS(E_F) (states/eV per cell) = 2.874
- DFT formation energy (eV/f.u.) = -1.0



# 5
# CdPt3Au

CdPt3Au after structural relaxation (PBE, the Alexandria database).

The structure in POSCAR format:
```
CdPt3Au
1.0
5.392 0.000 0.000
0.000 7.373 0.000
0.000 0.000 9.391
Au Pt Cd
4 12 4
Cartesian
2.696 0.000 0.000
0.000 3.687 4.696
0.000 0.000 4.696
2.696 3.687 0.000
1.120 6.873 7.178
3.816 4.187 6.909
2.920 5.530 2.182
5.167 1.843 6.877
0.224 5.530 2.514
1.576 0.501 2.482
4.271 0.501 2.214
1.576 3.186 2.482
2.472 1.843 7.209
4.271 3.186 2.214
1.120 4.187 7.178
3.816 6.873 6.909
2.363 5.530 4.854
3.028 1.843 4.537
5.059 5.530 9.232
0.333 1.843 0.159
```

Calculated values
- DOS(E_F) (states/eV per cell) = 12.289
- DFT formation energy (eV/f.u.) = -0.3



# 6
# CdPt2Au2

CdPt2Au2 after structural relaxation (PBE, the Alexandria database).

The structure in POSCAR format:
```
CdPt2Au2
1.0
4.517 0.000 0.000
-2.259 3.912 0.000
0.000 0.000 10.545
Cd Pt Au
2 4 4
Cartesian
0.000 0.000 7.909
0.000 0.000 2.636
0.000 2.608 2.636
0.000 0.000 0.000
0.000 0.000 5.272
2.259 1.304 7.909
2.259 1.304 4.231
2.259 1.304 1.042
0.000 2.608 9.503
0.000 2.608 6.314
```

Calculated values
- DOS(E_F) (states/eV per cell) = 1.762
- DFT formation energy (eV/f.u.) = 0.8



# 7
# Cd3PtAu

Cd3PtAu after structural relaxation (PBE, the Alexandria database).

The structure in POSCAR format:
```
Cd3PtAu
1.0
-3.891 1.379 2.430
-1.931 -5.520 0.041
4.166 -0.011 6.678
Au Cd Pt
2 6 2
Cartesian
2.468 -2.941 6.815
0.704 -2.263 3.607
-0.539 -0.265 0.480
-1.317 -0.275 3.962
-0.359 -1.913 6.426
-3.567 -3.539 2.212
0.606 0.847 6.405
-0.454 -4.929 3.264
-2.907 -0.837 1.736
-1.977 -2.977 4.439
```

Calculated values
- DOS(E_F) (states/eV per cell) = 2.380
- DFT formation energy (eV/f.u.) = -0.7



# 8
# Cd2Pt2Au3

Cd2Pt2Au3 after structural relaxation (PBE, the Alexandria database).

The structure in POSCAR format:
```
Cd2Pt2Au3
1.0
-3.078 2.534 -2.615
-3.538 -6.973 -2.590
-5.486 1.172 4.339
Cd Pt Au
4 4 6
Cartesian
-6.144 -0.574 0.530
-6.910 2.215 -0.212
-5.959 -2.693 -1.396
-5.192 -5.483 -0.654
-7.403 1.248 2.387
-6.454 -1.181 3.263
-4.699 -4.516 -3.254
-5.648 -2.087 -4.129
0.000 0.000 0.000
-3.326 -2.374 0.365
-8.776 -0.894 -1.231
-3.308 -2.220 -2.603
-8.323 -4.301 -0.719
-3.779 1.033 -0.148
```

Calculated values
- DOS(E_F) (states/eV per cell) = 6.369
- DFT formation energy (eV/f.u.) = -0.4



# 9
# Cd10PtAu4

Cd10PtAu4 after structural relaxation (PBE, the Alexandria database).

The structure in POSCAR format:
```
Cd10PtAu4
1.0
-2.530 -5.440 -2.162
5.529 -5.114 -3.008
-0.433 -5.788 5.664
Cd Au Pt
10 4 1
Cartesian
2.997 -6.051 -2.318
0.283 -2.472 1.256
0.853 -7.529 3.910
-0.431 -10.290 2.812
0.651 -9.530 -0.294
2.283 -13.869 -0.762
3.567 -11.109 0.336
-1.001 -5.232 0.158
1.916 -6.811 0.787
1.713 -8.812 -3.416
0.940 -12.050 1.005
3.246 -8.588 -0.999
1.627 -4.291 -0.512
-0.679 -7.753 1.493
0.000 0.000 0.000
```

Calculated values
- DOS(E_F) (states/eV per cell) = 5.092
- DFT formation energy (eV/f.u.) = -2.6



# 10
# CdPtAu5

CdPtAu5 after structural relaxation (PBE, the Alexandria database).

The structure in POSCAR format:
```
CdPtAu5
1.0
-6.524 -1.660 0.845
-2.453 -2.437 -5.838
-2.532 -9.666 -0.418
Au Cd Pt
10 2 2
Cartesian
-6.901 -5.712 -4.488
-6.671 -4.169 -0.057
-4.860 -7.384 -3.630
-6.570 -11.468 -4.197
-2.508 -3.376 -2.084
-4.939 -2.294 -1.213
-4.609 -8.050 -0.922
-9.002 -10.386 -3.326
-4.838 -9.593 -5.354
-6.649 -6.378 -1.780
-6.764 -9.225 -2.191
-4.745 -4.536 -3.219
-1.266 -4.833 -0.209
0.000 0.000 0.000
```

Calculated values
- DOS(E_F) (states/eV per cell) = 4.694
- DFT formation energy (eV/f.u.) = 1.4



# 11
# CdPt2Au

CdPt2Au after structural relaxation (PBE, the Alexandria database).

The structure in POSCAR format:
```
CdPt2Au
1.0
-3.177 1.627 -2.020
-2.471 -0.921 3.145
0.786 3.619 1.678
Au Pt Cd
1 2 1
Cartesian
-1.195 2.623 -0.171
-2.824 0.353 0.562
0.000 0.000 0.000
-0.842 1.349 2.411
```

Calculated values
- DOS(E_F) (states/eV per cell) = 2.674
- DFT formation energy (eV/f.u.) = -0.7



# 12
# CdPt2Au2

CdPt2Au2 after structural relaxation (PBE, the Alexandria database).

The structure in POSCAR format:
```
CdPt2Au2
1.0
-1.415 2.226 -2.668
-0.852 -3.015 -2.064
-7.324 -0.712 0.653
Cd Au Pt
1 2 2
Cartesian
0.000 0.000 0.000
-7.241 -1.044 -2.306
-2.350 -0.457 -1.772
-4.936 0.560 -2.190
-4.655 -2.061 -1.888
```

Calculated values
- DOS(E_F) (states/eV per cell) = 2.513
- DFT formation energy (eV/f.u.) = 0.4